# Cu4Te3Se

A relaxed Cu4Te3Se crystal (PBE-GGA, Alexandria).

Calculated values
E ... -3.702 eV/atom
Space group ... Pmn2_1 (31)
Raw formation energy ... -31.1 kJ/mol of formula units
Calculated volume ... 193.3 Å³/f.u.

The structure in POSCAR format:
```
Cu4Te3Se
1.0
-3.5438 -4.2319 -4.3546
-2.9360 -3.0626 5.3655
-6.0234 5.3143 -0.2626
Te Se Cu
6 2 8
direct
0.4924 0.3310 0.7501
0.4924 0.3310 0.2499
0.9924 0.6690 0.2501
0.9924 0.6690 0.7499
0.4916 0.8338 0.0000
0.9916 0.1662 0.5000
0.9911 0.1733 0.0000
0.4911 0.8267 0.5000
0.1547 0.8325 0.5000
0.1315 0.3228 0.7623
0.1315 0.3228 0.2377
0.6302 0.1437 0.5000
0.6315 0.6772 0.2623
0.1302 0.8563 0.0000
0.6315 0.6772 0.7377
0.6547 0.1675 0.0000
```